No. 1
Entry from the Alexandria database: an optimized crystal structure of K2NdCl5 (PBEsol).

Values from the calculation:
Its crystal system is orthorhombic. The value obtained for the density of states at the Fermi level is 0.000 states/eV/atom. As for the calculated total energy: -4.35 eV per atom. The theoretical density is 3.1 g/cm³.

Cell: 12.611 8.635 7.943 Å, 90.00 90.00 90.00°
Space group Pnma (No. 62)
Unique sites:
K (0.173, 0.004, 0.047) [8 per cell]
Nd (0.007, 0.250, 0.576) [4 per cell]
Cl (0.008, 0.250, 0.924) [4 per cell]
Cl (0.080, 0.544, 0.663) [8 per cell]
Cl (0.179, 0.250, 0.367) [4 per cell]
Cl (0.205, 0.750, 0.331) [4 per cell]


No. 2
Entry from the Alexandria database: an optimized crystal structure of ReAuCl2 (PBEsol).

Values from the calculation:
Its crystal system is cubic. The value obtained for the density of states at the Fermi level is 0.993 states/eV/atom. Its energy above the lowest structure with this stoichiometry is 1.001 eV/atom. The theoretical density is 11.8 g/cm³.

Cell: 6.341 6.341 6.341 Å, 90.00 90.00 90.00°
Space group Fm-3m (No. 225)
Unique sites:
Re (0.000, 0.000, 0.000) [4 per cell]
Au (0.000, 0.000, 0.500) [4 per cell]
Cl (0.250, 0.250, 0.250) [8 per cell]


No. 3
Entry from the Alexandria database: an optimized crystal structure of BaGeSeN2 (PBEsol).

Values from the calculation:
Its crystal system is tetragonal. The value obtained for the density of states at the Fermi level is 0.630 states/eV/atom. As for the calculated total energy: -4.02 eV per atom. The theoretical density is 4.3 g/cm³.

Cell: 4.374 4.374 6.420 Å, 90.00 90.00 90.00°
Space group P4/mmm (No. 123)
Unique sites:
Ba (0.000, 0.000, 0.000) [1 per cell]
Ge (0.500, 0.500, 0.500) [1 per cell]
Se (0.000, 0.000, 0.500) [1 per cell]
N (0.000, 0.500, 0.000) [2 per cell]